Record 1
An optimized crystal structure of Tb4Nd3Ho8. Source: Alexandria, functional PBE.

Unit cell a=9.2681 b=9.2681 c=6.7462 alpha=111.33 beta=111.33 gamma=87.46
Last column: nearest neighbours and their distance in Å.
Fractional coordinates of all 15 atoms:
Tb 0.0000 0.0000 0.0000  2 Tb 3.37, 4 Ho 3.49-3.59
Tb 0.0000 0.0000 0.5000  6 Ho 3.25-3.47, 2 Tb 3.37
Tb 0.0000 0.5000 0.0000  4 Ho 3.21-3.35, 2 Nd 3.37
Tb 0.5000 0.0000 0.0000  4 Ho 3.21-3.35, 2 Nd 3.37
Nd 0.0000 0.5000 0.5000  4 Ho 3.21-3.35, 2 Tb 3.37
Nd 0.5000 0.0000 0.5000  4 Ho 3.21-3.35, 2 Tb 3.37
Nd 0.5000 0.5000 0.5000  6 Ho 3.16-3.24
Ho 0.2537 0.7463 0.5000  3 Nd 3.16-3.35, 3 Tb 3.25-3.35
Ho 0.2629 0.2629 0.0082  4 Tb 3.21-3.49, 2 Ho 3.23-3.52, 1 Nd 3.24
Ho 0.2678 0.2678 0.5348  3 Nd 3.21-3.23, 4 Ho 3.23-3.60, 2 Tb 3.47-3.59
Ho 0.3594 0.6406 0.0000  7 Ho 3.60-3.68, 2 Tb 3.63, 4 Nd 3.63-3.82
Ho 0.6406 0.3594 0.0000  7 Ho 3.60-3.68, 2 Tb 3.63, 4 Nd 3.63-3.82
Ho 0.7322 0.7322 0.4652  3 Nd 3.21-3.23, 4 Ho 3.23-3.60, 2 Tb 3.47-3.59
Ho 0.7371 0.7371 0.9918  4 Tb 3.21-3.49, 2 Ho 3.23-3.52, 1 Nd 3.24
Ho 0.7463 0.2537 0.5000  3 Nd 3.16-3.35, 3 Tb 3.25-3.35

## Properties
**Total DFT energy (no corrections)**: -4.243 eV per atom

---

Record 2
An optimized crystal structure of Tb7Nd16Ho6. Source: Alexandria, functional PBE.

Unit cell a=11.3225 b=11.3225 c=11.3225 alpha=60.00 beta=60.00 gamma=60.00
Last column: nearest neighbours and their distance in Å.
Fractional coordinates of all 29 atoms:
Tb 0.0000 0.0000 0.0000  8 Nd 3.47
Tb 0.0000 0.0000 0.5000  8 Nd 3.30-3.47
Tb 0.0000 0.5000 0.0000  8 Nd 3.30-3.47
Tb 0.0000 0.5000 0.5000  8 Nd 3.30-3.47
Tb 0.5000 0.0000 0.0000  8 Nd 3.30-3.47
Tb 0.5000 0.0000 0.5000  8 Nd 3.30-3.47
Tb 0.5000 0.5000 0.0000  8 Nd 3.30-3.47
Nd 0.0515 0.6495 0.6495  3 Tb 3.30, 3 Ho 3.65, 3 Nd 3.65
Nd 0.1250 0.1250 0.1250  4 Tb 3.47, 3 Ho 3.61, 3 Nd 3.65
Nd 0.1250 0.1250 0.6250  4 Tb 3.47, 3 Ho 3.61, 3 Nd 3.65
Nd 0.1250 0.6250 0.1250  4 Tb 3.47, 3 Ho 3.61, 3 Nd 3.65
Nd 0.3505 0.3505 0.3505  3 Tb 3.30, 3 Ho 3.65, 3 Nd 3.65
Nd 0.3505 0.3505 0.9485  3 Tb 3.30, 3 Ho 3.65, 3 Nd 3.65
Nd 0.3505 0.9485 0.3505  3 Tb 3.30, 3 Ho 3.65, 3 Nd 3.65
Nd 0.3750 0.8750 0.8750  4 Tb 3.47, 3 Ho 3.61, 3 Nd 3.65
Nd 0.6250 0.1250 0.1250  4 Tb 3.47, 3 Ho 3.61, 3 Nd 3.65
Nd 0.6495 0.0515 0.6495  3 Tb 3.30, 3 Ho 3.65, 3 Nd 3.65
Nd 0.6495 0.6495 0.0515  3 Tb 3.30, 3 Ho 3.65, 3 Nd 3.65
Nd 0.6495 0.6495 0.6495  3 Tb 3.30, 3 Ho 3.65, 3 Nd 3.65
Nd 0.8750 0.3750 0.8750  4 Tb 3.47, 3 Ho 3.61, 3 Nd 3.65
Nd 0.8750 0.8750 0.3750  4 Tb 3.47, 3 Ho 3.61, 3 Nd 3.65
Nd 0.8750 0.8750 0.8750  4 Tb 3.47, 3 Ho 3.61, 3 Nd 3.65
Nd 0.9485 0.3505 0.3505  3 Tb 3.30, 3 Ho 3.65, 3 Nd 3.65
Ho 0.2648 0.2648 0.7352  8 Nd 3.61-3.65, 4 Tb 4.01
Ho 0.2648 0.7352 0.2648  8 Nd 3.61-3.65, 4 Tb 4.01
Ho 0.2648 0.7352 0.7352  8 Nd 3.61-3.65, 4 Tb 4.01
Ho 0.7352 0.2648 0.2648  8 Nd 3.61-3.65, 4 Tb 4.01
Ho 0.7352 0.2648 0.7352  8 Nd 3.61-3.65, 4 Tb 4.01
Ho 0.7352 0.7352 0.2648  8 Nd 3.61-3.65, 4 Tb 4.01

## Properties
**Total DFT energy (no corrections)**: -4.484 eV per atom

---

Record 3
An optimized crystal structure of TbNd6Ho8. Source: Alexandria, functional PBE.

Unit cell a=8.7181 b=8.7181 c=8.7181 alpha=62.96 beta=62.96 gamma=62.96
Last column: nearest neighbours and their distance in Å.
Fractional coordinates of all 15 atoms:
Tb 0.0000 0.0000 0.0000  6 Nd 3.47, 6 Ho 3.55
Nd 0.1034 0.2275 0.5381  4 Ho 3.39-3.71, 1 Tb 3.47, 2 Nd 3.53
Nd 0.2275 0.5381 0.1034  4 Ho 3.39-3.71, 1 Tb 3.47, 2 Nd 3.53
Nd 0.4619 0.8966 0.7725  4 Ho 3.39-3.71, 1 Tb 3.47, 2 Nd 3.53
Nd 0.5381 0.1034 0.2275  4 Ho 3.39-3.71, 1 Tb 3.47, 2 Nd 3.53
Nd 0.7725 0.4619 0.8966  4 Ho 3.39-3.71, 1 Tb 3.47, 2 Nd 3.53
Nd 0.8966 0.7725 0.4619  4 Ho 3.39-3.71, 1 Tb 3.47, 2 Nd 3.53
Ho 0.1119 0.7485 0.7175  3 Nd 3.39-3.71, 5 Ho 3.43-3.46, 1 Tb 3.55
Ho 0.2515 0.2825 0.8881  3 Nd 3.39-3.71, 5 Ho 3.43-3.46, 1 Tb 3.55
Ho 0.2825 0.8881 0.2515  3 Nd 3.39-3.71, 5 Ho 3.43-3.46, 1 Tb 3.55
Ho 0.4233 0.4233 0.4233  4 Ho 3.20-3.43, 3 Nd 3.45
Ho 0.5767 0.5767 0.5767  4 Ho 3.20-3.43, 3 Nd 3.45
Ho 0.7175 0.1119 0.7485  3 Nd 3.39-3.71, 5 Ho 3.43-3.46, 1 Tb 3.55
Ho 0.7485 0.7175 0.1119  3 Nd 3.39-3.71, 5 Ho 3.43-3.46, 1 Tb 3.55
Ho 0.8881 0.2515 0.2825  3 Nd 3.39-3.71, 5 Ho 3.43-3.46, 1 Tb 3.55

## Properties
**Total DFT energy (no corrections)**: -4.536 eV per atom

---

- Look up the total DFT energy (no corrections) of the third one.
  -4.536 eV per atom

---

- What is the formula in the third record?
  TbNd6Ho8